No. 1
A plane-wave DFT calculation with GGA-PBE was carried out for an optimized crystal structure of Rb3Ti2F9.

Values from the calculation:
spin magnetization = 0.0 μB per formula unit
ΔE_f (raw) = -3.151 eV per atom

a b c (Å): 7.847 7.847 7.847
angles (deg): 87.73 87.73 87.73
Atoms (fractional coordinates):
1 Rb 0.099 0.401 0.750
2 Rb 0.401 0.750 0.099
3 Rb 0.901 0.599 0.250
4 Rb 0.750 0.099 0.401
5 Rb 0.599 0.250 0.901
6 Rb 0.250 0.901 0.599
7 F 0.557 0.403 0.245
8 F 0.403 0.245 0.557
9 F 0.903 0.057 0.745
10 F 0.755 0.443 0.597
11 F 0.097 0.943 0.255
12 F 0.943 0.255 0.097
13 F 0.745 0.903 0.057
14 F 0.443 0.597 0.755
15 F 0.597 0.755 0.443
16 F 0.250 0.404 0.096
17 F 0.750 0.596 0.904
18 F 0.096 0.250 0.404
19 F 0.404 0.096 0.250
20 F 0.057 0.745 0.903
21 F 0.245 0.557 0.403
22 F 0.255 0.097 0.943
23 F 0.596 0.904 0.750
24 F 0.904 0.750 0.596
25 Ti 0.161 0.161 0.161
26 Ti 0.339 0.339 0.339
27 Ti 0.661 0.661 0.661
28 Ti 0.839 0.839 0.839

---

No. 2
A plane-wave DFT calculation with GGA-PBE was carried out for an optimized crystal structure of TlZn2Cr.

Values from the calculation:
energy above the lowest structure with this stoichiometry = 109 meV/atom
energy of formation from the pure elements = 1.72 eV per formula unit
spin magnetization = 3.7 μB per formula unit
DOS at the Fermi energy = 0.6613 states/eV/atom

a b c (Å): 5.744 4.889 3.116
angles (deg): 91.59 73.56 115.67
Atoms (fractional coordinates):
1 Zn 0.000 0.500 0.500
2 Zn 0.000 0.000 0.000
3 Tl 0.500 0.000 0.500
4 Cr 0.500 0.500 0.000

---

Ordered electronic total energy results: -159.3 -12.8; unit eV/cell.